Crystalline TaCu2Os at its relaxed geometry, computed with PBE.

The value obtained for the total magnetization is 0.00 μB per cell. The calculation puts the energy above the most stable polymorph in this dataset at 0.1715 eV/atom. For the total energy, the calculation gives -7.645 eV per atom.

The space group is P4mm (No. 99) and the conventional cell measures 2.836, 2.836 and 7.073 Å, with angles of 90.00, 90.00 and 90.00 degrees. The asymmetric unit holds Ta at (0.000, 0.000, 0.000), Cu at (0.000, 0.000, 0.485), Cu at (0.500, 0.500, 0.273) and Os at (0.500, 0.500, 0.728).

Crystalline TaCuOs2 at its relaxed geometry, computed with PBE.

The value obtained for the total magnetization is 0.00 μB per cell. The calculation puts the energy above the most stable polymorph in this dataset at 0.0973 eV/atom. For the total energy, the calculation gives -9.523 eV per atom.

The space group is I-4m2 (No. 119) and the conventional cell measures 3.827, 3.827 and 8.043 Å, with angles of 90.00, 90.00 and 90.00 degrees. The asymmetric unit holds Ta at (0.000, 0.000, 0.000), Cu at (0.000, 0.500, 0.750), Os at (0.000, 0.000, 0.500) and Os at (0.000, 0.500, 0.250).

Number 1: E_form 174 meV per atom. Number 2: E_form 79 meV per atom.